(1)
Entry from the Alexandria database: a PBEsol-optimized structure of BiH3Br (meta-GGA SCAN).

Lattice parameters (Å, degrees): 3.972 3.972 3.972 90.00 90.00 90.00
Fractional positions:
H1 0.000 0.000 0.500
H2 0.500 0.000 0.000
Bi1 0.500 0.500 0.500
Br1 0.000 0.000 0.000
H3 0.000 0.500 0.000

Summary:
DOS at the Fermi energy: 3.2 states/eV/f.u.
Uncorrected energy: -102.42 eV for the cell shown
M_tot: 0.002 μB per formula unit



(2)
Entry from the Alexandria database: a PBEsol-optimized structure of Hf2BiPbBr (meta-GGA SCAN).

Lattice parameters (Å, degrees): 5.432 5.498 5.498 90.00 90.00 90.00
Fractional positions:
Br1 0.500 0.000 0.000
Hf1 0.000 0.500 0.000
Bi1 0.000 0.000 0.000
Hf2 0.000 0.000 0.500
Pb1 0.500 0.500 0.500

Summary:
Uncorrected formation energy: 5.7 eV per formula unit
DOS at the Fermi energy: 5.3 states/eV/f.u.
Uncorrected energy: -293.46 eV for the cell shown
M_tot: 0.000 μB per formula unit



(3)
Entry from the Alexandria database: a PBEsol-optimized structure of HfBiSeBr2 (meta-GGA SCAN).

Lattice parameters (Å, degrees): 5.173 5.138 5.138 90.00 90.00 90.00
Fractional positions:
Se1 0.500 0.000 0.000
Hf1 0.000 0.000 0.000
Bi1 0.500 0.500 0.500
Br1 0.000 0.000 0.500
Br2 0.000 0.500 0.000

Summary:
Uncorrected formation energy: -1.9 eV per formula unit
DOS at the Fermi energy: 4.4 states/eV/f.u.
Uncorrected energy: -202.11 eV for the cell shown
M_tot: 0.000 μB per formula unit



(4)
Entry from the Alexandria database: a PBEsol-optimized structure of Hf2TcBiBr (meta-GGA SCAN).

Lattice parameters (Å, degrees): 4.651 5.079 5.079 90.00 90.00 90.00
Fractional positions:
Tc1 0.000 0.000 0.000
Hf1 0.000 0.500 0.000
Bi1 0.500 0.500 0.500
Br1 0.500 0.000 0.000
Hf2 0.000 0.000 0.500

Summary:
Uncorrected formation energy: 2.4 eV per formula unit
DOS at the Fermi energy: 3.6 states/eV/f.u.
Uncorrected energy: -256.09 eV for the cell shown
M_tot: 0.000 μB per formula unit



(5)
Entry from the Alexandria database: a PBEsol-optimized structure of K2HgBiBr6 (meta-GGA SCAN).

Lattice parameters (Å, degrees): 8.049 8.049 8.049 60.00 60.00 60.00
Fractional positions:
Br1 0.751 0.751 0.249
Br2 0.249 0.751 0.751
Hg1 0.500 0.500 0.500
K1 0.750 0.750 0.750
Br3 0.249 0.249 0.751
Br4 0.249 0.751 0.249
Bi1 0.000 0.000 0.000
Br5 0.751 0.249 0.249
K2 0.250 0.250 0.250
Br6 0.751 0.249 0.751

Summary:
Uncorrected formation energy: -10.4 eV per formula unit
DOS at the Fermi energy: 2.3 states/eV/f.u.
Uncorrected energy: -290.57 eV for the cell shown
M_tot: 0.000 μB per formula unit



(6)
Entry from the Alexandria database: a PBEsol-optimized structure of Bi2IBr (meta-GGA SCAN).

Lattice parameters (Å, degrees): 5.478 5.478 5.478 60.00 60.00 60.00
Fractional positions:
Bi1 0.250 0.250 0.250
Br1 0.000 0.000 0.000
I1 0.500 0.500 0.500
Bi2 0.750 0.750 0.750

Summary:
Excess energy over the best structure of this formula in the dataset: 607 meV/atom
Uncorrected formation energy: 1.2 eV per formula unit
DOS at the Fermi energy: 3.2 states/eV/f.u.
Uncorrected energy: -212.14 eV for the cell shown
M_tot: 0.001 μB per formula unit



(7)
Entry from the Alexandria database: a PBEsol-optimized structure of Bi2IBr (meta-GGA SCAN).

Lattice parameters (Å, degrees): 4.278 7.509 29.391 97.97 90.00 106.55
Fractional positions:
I1 0.247 0.493 0.871
Br1 0.331 0.662 0.405
Bi1 0.966 0.932 0.433
Bi2 0.636 0.273 0.343
Bi3 0.987 0.974 0.331
Bi4 0.357 0.715 0.760
Bi5 0.677 0.355 0.003
Br2 0.006 0.013 0.213
Br3 0.994 0.987 0.787
Bi6 0.013 0.026 0.669
I2 0.703 0.406 0.740
I3 0.973 0.946 0.926
Bi7 0.323 0.645 0.997
I4 0.297 0.594 0.260
Bi8 0.643 0.285 0.240
Bi9 0.364 0.727 0.657
Bi10 0.611 0.222 0.899
Br4 0.600 0.201 0.460
Br5 0.400 0.799 0.540
Bi11 0.389 0.778 0.101
I5 0.027 0.054 0.074
I6 0.753 0.507 0.129
Bi12 0.034 0.068 0.567
Br6 0.669 0.338 0.595

Summary:
Excess energy over the best structure of this formula in the dataset: 0 meV/atom
Uncorrected formation energy: -1.2 eV per formula unit
Uncorrected energy: -1287.42 eV for the cell shown
M_tot: 0.000 μB per formula unit



(8)
Entry from the Alexandria database: a PBEsol-optimized structure of BiOs2IBr (meta-GGA SCAN).

Lattice parameters (Å, degrees): 4.789 4.789 6.130 90.00 90.00 90.00
Each line ends with the local moment (μB).
Fractional positions:
Os1 0.500 0.000 0.000  1.10
I1 0.000 0.000 0.000  -0.01
Os2 0.000 0.500 0.000  1.10
Br1 0.500 0.500 0.500  0.06
Bi1 0.000 0.000 0.500  0.00

Summary:
Uncorrected formation energy: 11.4 eV per formula unit
DOS at the Fermi energy: 2.9 states/eV/f.u.
Uncorrected energy: -267.17 eV for the cell shown
M_tot: 2.755 μB per formula unit